No. 1
DFT (PBE) results for SrHg5 after structural relaxation.

Geometry as extended XYZ:
```
12
Lattice="5.731 0.000 0.000 0.000 9.797 0.000 -2.014 0.000 5.926" Properties=species:S:1:pos:R:3 pbc="T T T"
Sr 0.009 2.449 2.054
Sr 3.708 7.347 3.872
Hg -0.063 5.830 1.202
Hg -0.063 8.865 1.202
Hg 0.839 5.332 4.137
Hg 0.839 9.363 4.137
Hg 0.947 2.449 5.458
Hg 2.769 7.347 0.468
Hg 2.878 0.433 1.789
Hg 2.878 4.465 1.789
Hg 3.780 0.931 4.724
Hg 3.780 3.967 4.724
```

Calculated values
E above lowest polymorph in kJ per mole of atoms: 1.1
E in Ry per atom: -0.05990
Theoretical density in Mg/m³: 10.9

---

No. 2
DFT (PBE) results for SrHg5 after structural relaxation.

Geometry as extended XYZ:
```
6
Lattice="5.907 0.000 0.000 -2.954 5.116 0.000 0.000 0.000 5.455" Properties=species:S:1:pos:R:3 pbc="T T T"
Sr 0.000 0.000 0.000
Hg -1.927 3.338 2.727
Hg 0.000 3.411 0.000
Hg 1.027 1.778 2.727
Hg 3.854 0.000 2.727
Hg 2.954 1.705 0.000
```

Calculated values
E above lowest polymorph in kJ per mole of atoms: 1.2
E in Ry per atom: -0.05986
Theoretical density in Mg/m³: 11.0

---

No. 3
DFT (PBE) results for SrHg2 after structural relaxation.

Geometry as extended XYZ:
```
3
Lattice="0.000 3.797 3.797 3.797 0.000 3.797 3.797 3.797 0.000" Properties=species:S:1:pos:R:3 pbc="T T T"
Sr 0.000 0.000 0.000
Hg 1.899 1.899 1.899
Hg 5.696 5.696 5.696
```

Calculated values
E in Ry per atom: -0.07269
Theoretical density in Mg/m³: 7.4

---

No. 4
DFT (PBE) results for SrHg after structural relaxation.

Geometry as extended XYZ:
```
4
Lattice="4.690 0.000 0.000 0.000 4.690 0.000 0.000 0.000 6.728" Properties=species:S:1:pos:R:3 pbc="T T T"
Sr 1.173 1.173 1.463
Sr 3.518 3.518 5.265
Hg 1.173 1.173 4.769
Hg 3.518 3.518 1.959
```

Calculated values
E in Ry per atom: -0.10487
Theoretical density in Mg/m³: 6.5

---

No. 5
DFT (PBE) results for SrHg3 after structural relaxation.

Geometry as extended XYZ:
```
4
Lattice="4.020 0.000 0.000 0.000 4.020 0.000 0.000 0.000 7.058" Properties=species:S:1:pos:R:3 pbc="T T T"
Sr 0.000 0.000 0.000
Hg 0.000 0.000 3.529
Hg 2.010 2.010 1.926
Hg 2.010 2.010 5.131
```

Calculated values
E in Ry per atom: -0.07228
Theoretical density in Mg/m³: 10.0

---

No. 6
DFT (PBE) results for SrHg3 after structural relaxation.

Geometry as extended XYZ:
```
4
Lattice="5.238 3.024 1.295 -5.238 3.024 1.295 0.000 -6.048 1.295" Properties=species:S:1:pos:R:3 pbc="T T T"
Sr 0.000 0.000 0.000
Hg -2.619 -1.512 1.295
Hg -2.619 1.512 2.589
Hg 0.000 3.024 1.295
```

Calculated values
E in Ry per atom: -0.06418
Theoretical density in Mg/m³: 9.3

---

No. 7
DFT (PBE) results for Sr3Hg11 after structural relaxation.

Geometry as extended XYZ:
```
14
Lattice="-2.385 5.688 7.301 2.385 -5.688 7.301 2.385 5.688 -7.301" Properties=species:S:1:pos:R:3 pbc="T T T"
Sr 0.000 0.000 0.000
Sr 0.000 0.000 4.445
Sr 0.000 0.000 10.157
Hg 2.385 -1.456 2.239
Hg 2.385 -2.427 5.163
Hg 2.385 1.456 2.239
Hg 2.385 3.559 0.000
Hg 0.000 3.261 2.138
Hg 0.000 5.688 0.000
Hg 2.385 2.427 5.163
Hg 0.000 2.129 7.301
Hg 0.000 4.232 5.062
Hg 0.000 8.114 2.138
Hg 0.000 7.144 5.062
```

Calculated values
E in Ry per atom: -0.06834
Theoretical density in Mg/m³: 10.4

---

No. 8
DFT (PBE) results for SrHg4 after structural relaxation.

Geometry as extended XYZ:
```
5
Lattice="4.111 0.000 0.000 -0.012 5.206 0.000 -2.027 -2.509 6.631" Properties=species:S:1:pos:R:3 pbc="T T T"
Sr 0.000 0.000 0.000
Hg 0.022 2.731 3.746
Hg -0.033 0.154 5.188
Hg 2.105 2.542 1.444
Hg 2.050 -0.035 2.885
```

Calculated values
E above lowest polymorph in kJ per mole of atoms: 4.6
E in Ry per atom: -0.06343
Theoretical density in Mg/m³: 10.4

---

No. 9
DFT (PBE) results for Sr5Hg after structural relaxation.

Geometry as extended XYZ:
```
6
Lattice="2.311 -9.317 0.000 2.311 9.317 0.000 0.000 0.000 6.373" Properties=species:S:1:pos:R:3 pbc="T T T"
Sr 0.000 0.000 0.000
Sr 2.311 6.688 3.187
Sr 2.311 3.135 0.000
Sr 2.311 -3.135 0.000
Sr 2.311 -6.688 3.187
Hg 2.311 0.000 3.187
```

Calculated values
E above lowest polymorph in kJ per mole of atoms: 9.3
E in Ry per atom: -0.11295
Theoretical density in Mg/m³: 3.9

---

No. 10
DFT (PBE) results for SrHg3 after structural relaxation.

Geometry as extended XYZ:
```
8
Lattice="2.643 -5.882 0.000 2.643 5.882 0.000 0.000 0.000 7.275" Properties=species:S:1:pos:R:3 pbc="T T T"
Sr 2.643 4.626 5.456
Sr 2.643 -4.626 1.819
Hg 2.643 3.716 1.819
Hg 2.643 1.443 3.917
Hg 2.643 1.443 6.995
Hg 2.643 -1.443 0.280
Hg 2.643 -1.443 3.358
Hg 2.643 -3.716 5.456
```

Calculated values
E in Ry per atom: -0.07548
Theoretical density in Mg/m³: 10.1

---

No. 11
DFT (PBE) results for SrHg8 after structural relaxation.

Geometry as extended XYZ:
```
9
Lattice="-5.079 5.079 2.421 5.079 -5.079 2.421 5.079 5.079 -2.421" Properties=species:S:1:pos:R:3 pbc="T T T"
Sr 0.000 0.000 0.000
Hg 3.440 0.000 0.000
Hg 6.718 0.000 0.000
Hg 3.344 3.344 0.000
Hg 1.735 -1.735 2.421
Hg 0.000 3.440 0.000
Hg 0.000 6.718 0.000
Hg -1.735 1.735 2.421
Hg 1.735 1.735 2.421
```

Calculated values
E in Ry per atom: -0.04815
Theoretical density in Mg/m³: 11.3

---

No. 12
DFT (PBE) results for Sr2Hg3 after structural relaxation.

Geometry as extended XYZ:
```
5
Lattice="2.515 1.452 7.584 -2.515 1.452 7.584 0.000 -2.904 7.584" Properties=species:S:1:pos:R:3 pbc="T T T"
Sr 0.000 0.000 1.970
Sr 0.000 0.000 20.783
Hg 0.000 0.000 7.597
Hg 0.000 0.000 11.376
Hg 0.000 0.000 15.156
```

Calculated values
E above lowest polymorph in kJ per mole of atoms: 2.9
E in Ry per atom: -0.09681
Theoretical density in Mg/m³: 7.8

---

No. 13
DFT (PBE) results for SrHg after structural relaxation.

Geometry as extended XYZ:
```
16
Lattice="7.704 0.000 0.000 0.000 7.736 0.000 0.000 0.000 9.530" Properties=species:S:1:pos:R:3 pbc="T T T"
Sr 0.913 0.537 3.781
Sr 1.032 2.756 7.280
Sr 2.820 4.981 2.515
Sr 2.939 7.199 8.546
Sr 4.765 3.331 5.749
Sr 4.884 1.113 2.250
Sr 6.671 6.624 7.015
Sr 6.790 4.405 0.984
Hg 0.024 3.649 4.171
Hg 1.847 2.168 1.037
Hg 2.004 5.569 5.803
Hg 3.828 4.088 8.936
Hg 3.876 0.220 5.359
Hg 5.699 1.700 8.493
Hg 5.856 6.036 3.728
Hg 7.680 7.517 0.594
```

Calculated values
E in Ry per atom: -0.10227
Theoretical density in Mg/m³: 6.7

---

No. 14
DFT (PBE) results for SrHg4 after structural relaxation.

Geometry as extended XYZ:
```
5
Lattice="-3.744 3.744 3.744 3.744 -3.744 3.744 3.744 3.744 -3.744" Properties=species:S:1:pos:R:3 pbc="T T T"
Sr 0.000 0.000 0.000
Hg 1.872 1.872 -1.872
Hg 1.872 -1.872 1.872
Hg -1.872 1.872 1.872
Hg 1.872 1.872 1.872
```

Calculated values
E above lowest polymorph in kJ per mole of atoms: 26.3
E in Ry per atom: -0.04687
Theoretical density in Mg/m³: 7.0

---

No. 15
DFT (PBE) results for Sr5Hg4 after structural relaxation.

Geometry as extended XYZ:
```
9
Lattice="-5.275 5.275 2.867 5.275 -5.275 2.867 5.275 5.275 -2.867" Properties=species:S:1:pos:R:3 pbc="T T T"
Sr 0.000 0.000 0.000
Sr 3.385 3.385 0.000
Sr 1.890 -1.890 2.867
Sr -1.890 1.890 2.867
Sr 1.890 1.890 2.867
Hg 3.423 0.000 0.000
Hg 7.128 0.000 0.000
Hg 0.000 3.423 0.000
Hg 0.000 7.128 0.000
```

Calculated values
E in Ry per atom: -0.09386
Theoretical density in Mg/m³: 6.5

---

No. 16
DFT (PBE) results for SrHg after structural relaxation.

Geometry as extended XYZ:
```
2
Lattice="0.000 3.672 3.672 3.672 0.000 3.672 3.672 3.672 0.000" Properties=species:S:1:pos:R:3 pbc="T T T"
Sr 0.000 0.000 0.000
Hg 1.836 1.836 1.836
```

Calculated values
E in Ry per atom: -0.07824
Theoretical density in Mg/m³: 4.8

---

No. 17
DFT (PBE) results for SrHg3 after structural relaxation.

Geometry as extended XYZ:
```
4
Lattice="4.587 0.000 0.000 -2.293 3.972 0.000 0.000 0.000 7.311" Properties=species:S:1:pos:R:3 pbc="T T T"
Sr 0.000 0.000 0.000
Hg 0.000 0.000 3.655
Hg 0.000 2.648 2.004
Hg 0.000 2.648 5.306
```

Calculated values
E in Ry per atom: -0.06599
Theoretical density in Mg/m³: 8.6

---

No. 18
DFT (PBE) results for Sr2Hg7 after structural relaxation.

Geometry as extended XYZ:
```
18
Lattice="3.041 1.755 16.256 -3.041 1.755 16.256 0.000 -3.511 16.256" Properties=species:S:1:pos:R:3 pbc="T T T"
Sr 0.000 0.000 2.316
Sr 0.000 0.000 7.213
Sr 0.000 0.000 41.555
Sr 0.000 0.000 46.453
Hg -1.520 -0.878 16.256
Hg -1.547 -0.893 21.793
Hg 0.000 0.000 13.502
Hg 0.000 -1.786 26.976
Hg -1.547 0.893 26.976
Hg 0.000 0.000 19.130
Hg -1.520 0.878 32.513
Hg 0.000 1.755 16.256
Hg 0.000 0.000 24.384
Hg 0.000 0.000 29.639
Hg 1.547 -0.893 21.793
Hg 0.000 1.786 21.793
Hg 0.000 0.000 35.267
Hg 1.547 0.893 26.976
```

Calculated values
E in Ry per atom: -0.06395
Theoretical density in Mg/m³: 10.1

---

No. 19
DFT (PBE) results for SrHg5 after structural relaxation.

Geometry as extended XYZ:
```
6
Lattice="4.632 -2.645 0.000 4.632 2.645 0.000 -0.578 0.000 6.732" Properties=species:S:1:pos:R:3 pbc="T T T"
Sr 0.000 0.000 0.000
Hg -0.289 0.000 3.366
Hg 2.547 0.000 4.976
Hg 3.066 0.000 1.716
Hg 5.620 0.000 5.016
Hg 6.139 0.000 1.755
```

Calculated values
E above lowest polymorph in kJ per mole of atoms: 0.0
E in Ry per atom: -0.06074
Theoretical density in Mg/m³: 11.0

---

No. 20
DFT (PBE) results for Sr6Hg5 after structural relaxation.

Geometry as extended XYZ:
```
11
Lattice="-2.837 3.961 8.518 2.837 -3.961 8.518 2.837 3.961 -8.518" Properties=species:S:1:pos:R:3 pbc="T T T"
Sr 2.837 1.968 -2.852
Sr 0.000 1.955 0.000
Sr 2.837 1.968 2.852
Sr 0.000 1.993 5.667
Sr 0.000 5.967 0.000
Sr 0.000 1.993 11.370
Hg 2.837 0.000 0.000
Hg 0.000 0.000 2.820
Hg 2.837 0.000 5.709
Hg 0.000 3.961 2.809
Hg 0.000 0.000 14.217
```

Calculated values
E in Ry per atom: -0.11220
Theoretical density in Mg/m³: 6.6

---

No. 21
DFT (PBE) results for Sr4Hg3 after structural relaxation.

Geometry as extended XYZ:
```
7
Lattice="-2.072 2.072 15.060 2.072 -2.072 15.060 2.072 2.072 -15.060" Properties=species:S:1:pos:R:3 pbc="T T T"
Sr 0.000 0.000 1.885
Sr 0.000 0.000 9.986
Sr 0.000 0.000 20.133
Sr 0.000 0.000 28.235
Hg 0.000 0.000 6.624
Hg 0.000 0.000 15.060
Hg 0.000 0.000 23.496
```

Calculated values
E above lowest polymorph in kJ per mole of atoms: 5.3
E in Ry per atom: -0.10865
Theoretical density in Mg/m³: 6.1

---

No. 22
DFT (PBE) results for Sr4Hg3 after structural relaxation.

Geometry as extended XYZ:
```
7
Lattice="2.831 1.634 9.203 -2.831 1.634 9.203 0.000 -3.268 9.203" Properties=species:S:1:pos:R:3 pbc="T T T"
Sr 0.000 0.000 3.419
Sr 0.000 0.000 10.326
Sr 0.000 0.000 17.283
Sr 0.000 0.000 24.190
Hg 0.000 0.000 0.000
Hg 0.000 0.000 6.851
Hg 0.000 0.000 20.758
```

Calculated values
E above lowest polymorph in kJ per mole of atoms: 0.0
E in Ry per atom: -0.11269
Theoretical density in Mg/m³: 6.2

---

No. 23
DFT (PBE) results for SrHg2 after structural relaxation.

Geometry as extended XYZ:
```
6
Lattice="5.233 -2.593 0.000 5.233 2.593 0.000 -0.059 0.000 6.596" Properties=species:S:1:pos:R:3 pbc="T T T"
Sr 1.902 0.000 1.630
Sr 8.506 0.000 4.966
Hg 1.303 0.000 4.920
Hg 5.233 0.000 0.000
Hg 5.204 0.000 3.298
Hg 9.104 0.000 1.676
```

Calculated values
E in Ry per atom: -0.08858
Theoretical density in Mg/m³: 9.1

---

No. 24
DFT (PBE) results for Sr7Hg after structural relaxation.

Geometry as extended XYZ:
```
8
Lattice="0.000 5.810 5.810 5.810 0.000 5.810 5.810 5.810 0.000" Properties=species:S:1:pos:R:3 pbc="T T T"
Sr 0.000 0.000 0.000
Sr 2.905 2.905 0.000
Sr 2.905 0.000 2.905
Sr 5.810 2.905 2.905
Sr 0.000 2.905 2.905
Sr 2.905 5.810 2.905
Sr 2.905 2.905 5.810
Hg 5.810 5.810 5.810
```

Calculated values
E in Ry per atom: -0.11165
Theoretical density in Mg/m³: 3.4

---

No. 25
DFT (PBE) results for Sr3Hg8 after structural relaxation.

Geometry as extended XYZ:
```
11
Lattice="4.990 -2.371 0.000 4.990 2.371 0.000 -4.731 0.000 13.523" Properties=species:S:1:pos:R:3 pbc="T T T"
Sr 0.000 0.000 0.000
Sr 2.362 0.000 4.755
Sr 2.888 0.000 8.769
Hg -0.660 0.000 3.373
Hg -0.783 0.000 6.566
Hg -0.951 0.000 11.189
Hg 3.042 0.000 1.306
Hg 2.207 0.000 12.217
Hg 6.201 0.000 2.334
Hg 6.033 0.000 6.958
Hg 5.909 0.000 10.150
```

Calculated values
E in Ry per atom: -0.08018
Theoretical density in Mg/m³: 9.7

---

Energy of formation from the pure elements list, top to bottom, in eV/atom: -0.283; -0.283; -0.227; -0.435; -0.337; -0.226; -0.332; -0.285; -0.085; -0.380; -0.200; -0.463; -0.400; -0.060; -0.209; -0.073; -0.251; -0.262; -0.295; -0.472; -0.388; -0.443; -0.443; -0.010; -0.413